20
Lattice="8.490 0.000 0.000 0.000 3.625 0.000 0.000 0.000 20.859" Properties=species:S:1:pos:R:3 comment="PrTm3Th | Alexandria | PBE | optimized geometry" e_form_ev_per_atom=0.0485 energy_ry_per_atom=-0.373 total_magnetization_mub_per_cell=0.00 dos_at_fermi_per_ev_atom=1.5410 pbc="T T T"
Pr 0.989 0.906 3.004
Pr 3.256 2.719 13.433
Pr 5.233 0.906 7.426
Pr 7.501 2.719 17.855
Tm 0.733 0.906 15.237
Tm 1.355 0.906 20.257
Tm 1.735 0.906 7.138
Tm 2.510 2.719 17.568
Tm 2.890 2.719 9.827
Tm 3.512 2.719 4.807
Tm 4.978 0.906 16.052
Tm 5.600 0.906 11.031
Tm 5.979 0.906 3.291
Tm 6.755 2.719 13.720
Tm 7.135 2.719 0.602
Tm 7.756 2.719 5.622
Th 0.629 0.906 11.781
Th 3.616 2.719 1.351
Th 4.874 0.906 19.507
Th 7.861 2.719 9.078